{"formula": "CaMg2ScPd4", "functional": "PBE", "state": "optimized geometry", "lattice": [[2.337, 1.349, 7.692], [-2.337, 1.349, 7.692], [0.000, -2.698, 7.692]], "species": ["Ca", "Mg", "Mg", "Sc", "Pd", "Pd", "Pd", "Pd"], "fractional_positions": [[0.000, 0.000, 0.000], [0.249, 0.249, 0.249], [0.751, 0.751, 0.751], [0.500, 0.500, 0.500], [0.130, 0.130, 0.130], [0.382, 0.382, 0.382], [0.618, 0.618, 0.618], [0.870, 0.870, 0.870]], "total_energy_ev_per_atom": -4.7792, "m_tot_mub_per_fu": 0.00, "formation_energy_mev_per_atom": -742, "n_ef_per_ev_cell": 3.2}

---

{"formula": "HfTeF2", "functional": "PBE", "state": "optimized geometry", "lattice": [[3.034, 0.000, 0.000], [-1.517, 2.627, 0.000], [0.000, 0.000, 32.240]], "species": ["Hf", "Hf", "Hf", "Te", "Te", "Te", "F", "F", "F", "F", "F", "F"], "fractional_positions": [[0.000, 0.000, 0.000], [0.333, 0.667, 0.667], [0.667, 0.333, 0.333], [0.000, 0.000, 0.500], [0.333, 0.667, 0.167], [0.667, 0.333, 0.833], [0.000, 0.000, 0.379], [0.000, 0.000, 0.621], [0.333, 0.667, 0.046], [0.333, 0.667, 0.288], [0.667, 0.333, 0.712], [0.667, 0.333, 0.954]], "formation_energy_uncorrected_ev_per_atom": -1.824, "total_energy_ev_per_atom": -6.0334, "m_tot_mub_per_fu": 0.00, "n_ef_per_ev_cell": 4.7}

---

{"formula": "SrAg2Au5", "functional": "PBE", "state": "optimized geometry", "lattice": [[4.189, 0.000, 0.000], [0.000, 7.822, 0.000], [0.000, 0.000, 10.748]], "species": ["Sr", "Sr", "Ag", "Ag", "Ag", "Ag", "Au", "Au", "Au", "Au", "Au", "Au", "Au", "Au", "Au", "Au"], "fractional_positions": [[0.000, 0.000, 0.000], [0.500, 0.500, 0.500], [0.000, 0.500, 0.257], [0.000, 0.500, 0.743], [0.500, 0.000, 0.243], [0.500, 0.000, 0.757], [0.000, 0.191, 0.367], [0.000, 0.191, 0.633], [0.000, 0.500, 0.000], [0.000, 0.809, 0.367], [0.000, 0.809, 0.633], [0.500, 0.000, 0.500], [0.500, 0.309, 0.133], [0.500, 0.309, 0.867], [0.500, 0.691, 0.133], [0.500, 0.691, 0.867]], "total_energy_ev_per_atom": -3.1312, "m_tot_mub_per_fu": 0.00, "formation_energy_mev_per_atom": -160, "n_ef_per_ev_cell": 6.0}

---

{"formula": "SrAc5As6", "functional": "PBE", "state": "optimized geometry", "lattice": [[3.937, -6.822, 0.000], [3.937, 6.822, 0.000], [-2.625, 0.000, 7.421]], "species": ["Sr", "Ac", "Ac", "Ac", "Ac", "Ac", "As", "As", "As", "As", "As", "As"], "fractional_positions": [[0.000, 0.000, 0.000], [0.165, 0.835, 0.500], [0.333, 0.667, 0.000], [0.500, 0.500, 0.500], [0.667, 0.333, 0.000], [0.835, 0.165, 0.500], [0.084, 0.422, 0.252], [0.254, 0.254, 0.748], [0.422, 0.084, 0.252], [0.578, 0.916, 0.748], [0.746, 0.746, 0.252], [0.916, 0.578, 0.748]], "total_energy_ev_per_atom": -5.5585, "m_tot_mub_per_fu": 0.00, "formation_energy_mev_per_atom": -1382, "n_ef_per_ev_cell": 8.7}

---

{"formula": "Na3Ag2Pb4", "functional": "PBE", "state": "optimized geometry", "lattice": [[5.139, 0.000, 0.000], [-2.564, 4.581, 0.000], [-0.046, -0.789, 9.858]], "species": ["Na", "Na", "Na", "Ag", "Ag", "Pb", "Pb", "Pb", "Pb"], "fractional_positions": [[0.000, 0.000, 0.000], [0.331, 0.663, 0.463], [0.669, 0.337, 0.537], [0.329, 0.660, 0.790], [0.671, 0.340, 0.210], [0.004, 0.006, 0.672], [0.340, 0.678, 0.125], [0.660, 0.322, 0.875], [0.996, 0.994, 0.328]], "total_energy_ev_per_atom": -2.7815, "m_tot_mub_per_fu": 0.00, "formation_energy_mev_per_atom": -60, "n_ef_per_ev_cell": 2.8}

---

{"formula": "CsKRb2", "functional": "PBE", "state": "optimized geometry", "lattice": [[8.648, 0.000, 0.000], [0.000, 10.253, 0.000], [-2.663, 0.000, 8.246]], "species": ["Cs", "Cs", "K", "K", "Rb", "Rb", "Rb", "Rb"], "fractional_positions": [[0.242, 0.250, 0.243], [0.758, 0.750, 0.757], [0.252, 0.750, 0.254], [0.748, 0.250, 0.746], [0.254, 0.000, 0.747], [0.254, 0.500, 0.747], [0.746, 0.000, 0.253], [0.746, 0.500, 0.253]], "total_energy_ev_per_atom": -0.9661, "m_tot_mub_per_fu": 0.00, "formation_energy_mev_per_atom": 5, "n_ef_per_ev_cell": 7.4}

---

{"formula": "NpSCl", "functional": "PBE", "state": "optimized geometry", "lattice": [[4.068, 0.000, 0.000], [-2.034, 3.523, 0.000], [0.000, 0.000, 6.430]], "species": ["Np", "S", "Cl"], "fractional_positions": [[0.000, 0.000, 0.000], [0.667, 0.333, 0.799], [0.333, 0.667, 0.249]], "formation_energy_uncorrected_ev_per_atom": -1.419, "total_energy_ev_per_atom": -7.7234, "m_tot_mub_per_fu": 4.00, "n_ef_per_ev_cell": 9.5}

---

{"formula": "Cs3CeCl8", "functional": "PBE", "state": "optimized geometry", "lattice": [[-3.883, 3.883, 7.649], [3.883, -3.883, 7.649], [3.883, 3.883, -7.649]], "species": ["Cs", "Cs", "Cs", "Ce", "Cl", "Cl", "Cl", "Cl", "Cl", "Cl", "Cl", "Cl"], "fractional_positions": [[0.000, 0.000, 0.000], [0.250, 0.750, 0.500], [0.750, 0.250, 0.500], [0.500, 0.500, 0.000], [0.186, 0.186, 0.583], [0.186, 0.603, 0.000], [0.397, 0.397, 0.583], [0.397, 0.814, 0.000], [0.603, 0.186, 0.000], [0.603, 0.603, 0.417], [0.814, 0.397, 0.000], [0.814, 0.814, 0.417]], "formation_energy_uncorrected_ev_per_atom": -1.753, "total_energy_ev_per_atom": -3.6924, "m_tot_mub_per_fu": 0.72, "n_ef_per_ev_cell": 16.4}

---

{"formula": "LuCoCu", "functional": "PBE", "state": "optimized geometry", "lattice": [[4.065, 0.000, 0.000], [-2.032, 3.520, 0.000], [0.000, 0.000, 3.514]], "species": ["Lu", "Co", "Cu"], "fractional_positions": [[0.000, 0.000, 0.000], [0.667, 0.333, 0.500], [0.333, 0.667, 0.500]], "total_energy_ev_per_atom": -5.3879, "m_tot_mub_per_fu": 0.62, "formation_energy_mev_per_atom": -147, "n_ef_per_ev_cell": 1.6}

---

{"formula": "Tb12NdY3", "functional": "PBE", "state": "optimized geometry", "lattice": [[5.052, 0.000, 0.000], [0.000, 5.052, 0.000], [0.000, 0.000, 20.189]], "species": ["Tb", "Tb", "Tb", "Tb", "Tb", "Tb", "Tb", "Tb", "Tb", "Tb", "Tb", "Tb", "Nd", "Y", "Y", "Y"], "fractional_positions": [[0.000, 0.000, 0.000], [0.000, 0.000, 0.249], [0.000, 0.000, 0.500], [0.000, 0.000, 0.751], [0.000, 0.500, 0.125], [0.000, 0.500, 0.374], [0.000, 0.500, 0.626], [0.000, 0.500, 0.875], [0.500, 0.000, 0.125], [0.500, 0.000, 0.374], [0.500, 0.000, 0.626], [0.500, 0.000, 0.875], [0.500, 0.500, 0.500], [0.500, 0.500, 0.000], [0.500, 0.500, 0.249], [0.500, 0.500, 0.751]], "total_energy_ev_per_atom": -4.9641, "m_tot_mub_per_fu": 0.00, "formation_energy_mev_per_atom": 19, "n_ef_per_ev_cell": 21.9}

---

{"formula": "TbNd4Y3S8", "functional": "PBE", "state": "optimized geometry", "lattice": [[3.970, 2.292, 6.613], [-3.970, 2.292, 6.613], [0.000, -4.584, 6.613]], "species": ["Tb", "Nd", "Nd", "Nd", "Nd", "Y", "Y", "Y", "S", "S", "S", "S", "S", "S", "S", "S"], "fractional_positions": [[0.000, 0.000, 0.000], [0.000, 0.000, 0.500], [0.000, 0.500, 0.000], [0.500, 0.000, 0.000], [0.500, 0.500, 0.500], [0.000, 0.500, 0.500], [0.500, 0.000, 0.500], [0.500, 0.500, 0.000], [0.245, 0.245, 0.744], [0.245, 0.744, 0.245], [0.255, 0.255, 0.255], [0.256, 0.755, 0.755], [0.744, 0.245, 0.245], [0.745, 0.745, 0.745], [0.755, 0.256, 0.755], [0.755, 0.755, 0.256]], "formation_energy_uncorrected_ev_per_atom": -2.014, "total_energy_ev_per_atom": -6.7711, "m_tot_mub_per_fu": 0.00, "n_ef_per_ev_cell": 8.0}

---

{"formula": "SmYPd6", "functional": "PBE", "state": "optimized geometry", "lattice": [[4.156, 0.000, 0.000], [0.000, 4.156, 0.000], [0.000, 0.000, 8.302]], "species": ["Sm", "Y", "Pd", "Pd", "Pd", "Pd", "Pd", "Pd"], "fractional_positions": [[0.000, 0.000, 0.000], [0.000, 0.000, 0.500], [0.000, 0.500, 0.253], [0.000, 0.500, 0.747], [0.500, 0.000, 0.253], [0.500, 0.000, 0.747], [0.500, 0.500, 0.000], [0.500, 0.500, 0.500]], "total_energy_ev_per_atom": -6.1148, "m_tot_mub_per_fu": 0.00, "formation_energy_mev_per_atom": -822, "n_ef_per_ev_cell": 5.6}

---

{"formula": "HfInRu2", "functional": "PBE", "state": "optimized geometry", "lattice": [[4.507, 0.000, 0.000], [0.000, 4.507, 0.000], [0.000, 0.000, 3.304]], "species": ["Hf", "In", "Ru", "Ru"], "fractional_positions": [[0.000, 0.000, 0.000], [0.500, 0.500, 0.000], [0.000, 0.500, 0.500], [0.500, 0.000, 0.500]], "total_energy_ev_per_atom": -8.2470, "m_tot_mub_per_fu": 0.00, "formation_energy_mev_per_atom": -436, "n_ef_per_ev_cell": 3.3}

---

{"formula": "KTl3Pd3", "functional": "PBE", "state": "optimized geometry", "lattice": [[3.746, 2.163, 8.379], [-3.746, 2.163, 8.379], [0.000, -4.325, 8.379]], "species": ["K", "K", "Tl", "Tl", "Tl", "Tl", "Tl", "Tl", "Pd", "Pd", "Pd", "Pd", "Pd", "Pd"], "fractional_positions": [[0.161, 0.161, 0.161], [0.839, 0.839, 0.839], [0.078, 0.475, 0.633], [0.367, 0.922, 0.525], [0.475, 0.633, 0.078], [0.525, 0.367, 0.922], [0.633, 0.078, 0.475], [0.922, 0.525, 0.367], [0.038, 0.828, 0.270], [0.172, 0.730, 0.962], [0.270, 0.038, 0.828], [0.730, 0.962, 0.172], [0.828, 0.270, 0.038], [0.962, 0.172, 0.730]], "total_energy_ev_per_atom": -3.5274, "m_tot_mub_per_fu": 0.00, "formation_energy_mev_per_atom": -131, "n_ef_per_ev_cell": 10.3}

---

{"formula": "Ho4Ir2Pt", "functional": "PBE", "state": "optimized geometry", "lattice": [[13.747, 0.000, 0.000], [0.000, 4.223, 0.000], [-3.601, 0.000, 6.154]], "species": ["Ho", "Ho", "Ho", "Ho", "Ho", "Ho", "Ho", "Ho", "Ir", "Ir", "Ir", "Ir", "Pt", "Pt"], "fractional_positions": [[0.124, 0.000, 0.310], [0.140, 0.500, 0.793], [0.360, 0.000, 0.207], [0.376, 0.500, 0.690], [0.624, 0.500, 0.310], [0.640, 0.000, 0.793], [0.860, 0.500, 0.207], [0.876, 0.000, 0.690], [0.238, 0.500, 0.241], [0.262, 0.000, 0.759], [0.738, 0.000, 0.241], [0.762, 0.500, 0.759], [0.000, 0.500, 0.000], [0.500, 0.000, 0.000]], "total_energy_ev_per_atom": -6.8441, "m_tot_mub_per_fu": 0.00, "formation_energy_mev_per_atom": -834, "n_ef_per_ev_cell": 8.2}

---

{"formula": "CeHAu", "functional": "PBE", "state": "optimized geometry", "lattice": [[9.563, 0.000, 0.000], [0.000, 3.876, 0.000], [-4.162, 0.000, 6.264]], "species": ["Ce", "Ce", "Ce", "Ce", "H", "H", "H", "H", "Au", "Au", "Au", "Au"], "fractional_positions": [[0.066, 0.000, 0.295], [0.434, 0.500, 0.705], [0.566, 0.500, 0.295], [0.934, 0.000, 0.705], [0.150, 0.500, 0.482], [0.350, 0.000, 0.518], [0.650, 0.000, 0.482], [0.850, 0.500, 0.518], [0.187, 0.500, 0.089], [0.313, 0.000, 0.911], [0.687, 0.000, 0.089], [0.813, 0.500, 0.911]], "total_energy_ev_per_atom": -4.6486, "m_tot_mub_per_fu": 0.92, "n_ef_per_ev_cell": 26.0}

---

{"formula": "CePm12Tm2", "functional": "PBE", "state": "optimized geometry", "lattice": [[6.500, 0.000, 0.000], [0.000, 6.500, 0.000], [0.000, 0.000, 25.465]], "species": ["Ce", "Ce", "Pm", "Pm", "Pm", "Pm", "Pm", "Pm", "Pm", "Pm", "Pm", "Pm", "Pm", "Pm", "Pm", "Pm", "Pm", "Pm", "Pm", "Pm", "Pm", "Pm", "Pm", "Pm", "Pm", "Pm", "Tm", "Tm", "Tm", "Tm"], "fractional_positions": [[0.250, 0.750, 0.000], [0.750, 0.250, 0.000], [0.068, 0.568, 0.114], [0.068, 0.932, 0.886], [0.082, 0.582, 0.562], [0.082, 0.918, 0.438], [0.250, 0.250, 0.216], [0.250, 0.250, 0.337], [0.250, 0.250, 0.663], [0.250, 0.250, 0.784], [0.418, 0.582, 0.438], [0.418, 0.918, 0.562], [0.432, 0.568, 0.886], [0.432, 0.932, 0.114], [0.568, 0.068, 0.886], [0.568, 0.432, 0.114], [0.582, 0.082, 0.438], [0.582, 0.418, 0.562], [0.750, 0.750, 0.216], [0.750, 0.750, 0.337], [0.750, 0.750, 0.663], [0.750, 0.750, 0.784], [0.918, 0.082, 0.562], [0.918, 0.418, 0.438], [0.932, 0.068, 0.114], [0.932, 0.432, 0.886], [0.250, 0.750, 0.274], [0.250, 0.750, 0.726], [0.750, 0.250, 0.274], [0.750, 0.250, 0.726]], "total_energy_ev_per_atom": -4.4540, "m_tot_mub_per_fu": 1.36, "formation_energy_mev_per_atom": 338, "n_ef_per_ev_cell": 51.0}

---

{"formula": "NaTlF3", "functional": "PBE", "state": "optimized geometry", "lattice": [[3.771, 0.000, 0.000], [-0.002, 6.742, 0.000], [-0.001, -2.648, 6.202]], "species": ["Na", "Na", "Tl", "Tl", "F", "F", "F", "F", "F", "F"], "fractional_positions": [[0.000, 0.000, 0.000], [0.000, 0.499, 0.499], [0.174, 0.999, 0.500], [0.514, 0.500, 0.000], [0.011, 0.378, 0.121], [0.011, 0.622, 0.878], [0.509, 0.362, 0.622], [0.510, 0.122, 0.862], [0.510, 0.636, 0.377], [0.510, 0.878, 0.138]], "formation_energy_uncorrected_ev_per_atom": -2.150, "total_energy_ev_per_atom": -4.0094, "m_tot_mub_per_fu": 0.00, "n_ef_per_ev_cell": 0.0}

---

{"formula": "Y2ErGa6", "functional": "PBE", "state": "optimized geometry", "lattice": [[7.459, 0.000, 0.000], [-3.729, 6.460, 0.000], [0.000, 0.000, 3.833]], "species": ["Y", "Y", "Er", "Ga", "Ga", "Ga", "Ga", "Ga", "Ga"], "fractional_positions": [[0.333, 0.667, 0.000], [0.667, 0.333, 0.000], [0.000, 0.000, 0.000], [0.000, 0.333, 0.500], [0.000, 0.667, 0.500], [0.333, 0.000, 0.500], [0.333, 0.333, 0.500], [0.667, 0.000, 0.500], [0.667, 0.667, 0.500]], "total_energy_ev_per_atom": -4.5973, "m_tot_mub_per_fu": 0.00, "formation_energy_mev_per_atom": -636, "n_ef_per_ev_cell": 3.9}

---

{"formula": "La2Pm4NdSm", "functional": "PBE", "state": "optimized geometry", "lattice": [[6.350, 0.000, 0.000], [0.000, 3.685, 0.000], [-2.185, 0.000, 12.023]], "species": ["La", "La", "Pm", "Pm", "Pm", "Pm", "Nd", "Sm"], "fractional_positions": [[0.000, 0.000, 0.000], [0.000, 0.500, 0.500], [0.250, 0.000, 0.751], [0.251, 0.500, 0.250], [0.749, 0.500, 0.750], [0.750, 0.000, 0.249], [0.500, 0.000, 0.500], [0.500, 0.500, 0.000]], "total_energy_ev_per_atom": -4.7756, "m_tot_mub_per_fu": 0.00, "formation_energy_mev_per_atom": 17, "n_ef_per_ev_cell": 13.9}